No. 1
Entry from Alexandria: a relaxed structure of Cs2Tl2F (PBE).

a = 7.780 Å, b = 7.780 Å, c = 7.441 Å
α = 90.00°, β = 90.00°, γ = 90.00°
Atoms (fractional coordinates):
1 F 0.500 0.500 0.000
2 F 0.000 0.000 0.000
3 Cs 0.305 0.195 0.000
4 Cs 0.695 0.805 0.000
5 Cs 0.195 0.695 0.000
6 Cs 0.805 0.305 0.000
7 Tl 0.639 0.139 0.500
8 Tl 0.139 0.361 0.500
9 Tl 0.361 0.861 0.500
10 Tl 0.861 0.639 0.500

Summary:
Uncorrected formation energy = -0.84 eV/atom
Symmetry = P4/mbm, No. 127
Total magnetization = 0.9 Bohr magnetons per cell


No. 2
Entry from Alexandria: a relaxed structure of Cs3Tl2F8 (PBE).

a = 7.140 Å, b = 7.140 Å, c = 8.535 Å
α = 65.27°, β = 65.27°, γ = 60.00°
Atoms (fractional coordinates):
1 F 0.209 0.736 0.320
2 F 0.264 0.264 0.680
3 F 0.736 0.209 0.320
4 F 0.665 0.665 0.006
5 F 0.736 0.736 0.320
6 F 0.335 0.335 0.994
7 F 0.791 0.264 0.680
8 F 0.264 0.791 0.680
9 Tl 0.430 0.430 0.709
10 Tl 0.570 0.570 0.291
11 Cs 0.000 0.000 0.000
12 Cs 0.208 0.208 0.375
13 Cs 0.792 0.792 0.625

Summary:
Uncorrected formation energy = -2.20 eV/atom
Symmetry = R-3m, No. 166
Total magnetization = 0.9 Bohr magnetons per cell


No. 3
Entry from Alexandria: a relaxed structure of CsTlF6 (PBE).

a = 5.960 Å, b = 5.960 Å, c = 6.313 Å
α = 61.83°, β = 61.83°, γ = 60.00°
Atoms (fractional coordinates):
1 F 0.407 0.912 0.769
2 F 0.593 0.088 0.231
3 F 0.088 0.593 0.231
4 F 0.912 0.912 0.769
5 F 0.912 0.407 0.769
6 F 0.088 0.088 0.231
7 Cs 0.500 0.500 0.500
8 Tl 0.000 0.000 0.000

Summary:
Uncorrected formation energy = -1.49 eV/atom
Symmetry = R-3m, No. 166
Total magnetization = 2.0 Bohr magnetons per cell


No. 4
Entry from Alexandria: a relaxed structure of Cs2TlF7 (PBE).

a = 6.599 Å, b = 6.599 Å, c = 6.599 Å
α = 60.00°, β = 60.00°, γ = 60.00°
Atoms (fractional coordinates):
1 F 0.770 0.770 0.230
2 F 0.500 0.500 0.500
3 F 0.770 0.230 0.770
4 F 0.230 0.770 0.770
5 F 0.770 0.230 0.230
6 F 0.230 0.230 0.770
7 F 0.230 0.770 0.230
8 Cs 0.750 0.750 0.750
9 Cs 0.250 0.250 0.250
10 Tl 0.000 0.000 0.000

Summary:
Uncorrected formation energy = -1.80 eV/atom
Symmetry = Fm-3m, No. 225
Total magnetization = 2.0 Bohr magnetons per cell


No. 5
Entry from Alexandria: a relaxed structure of Cs2TlF4 (PBE).

a = 4.765 Å, b = 4.765 Å, c = 8.292 Å
α = 73.30°, β = 73.30°, γ = 90.00°
Atoms (fractional coordinates):
1 Tl 0.000 0.000 0.000
2 Cs 0.647 0.647 0.705
3 Cs 0.353 0.353 0.295
4 F 0.500 0.000 0.000
5 F 0.160 0.160 0.680
6 F 0.840 0.840 0.320
7 F 0.000 0.500 0.000

Summary:
Uncorrected formation energy = -2.33 eV/atom
Symmetry = I4/mmm, No. 139
Total magnetization = 0.0 Bohr magnetons per cell


No. 6
Entry from Alexandria: a relaxed structure of Cs4Tl2F (PBE).

a = 5.959 Å, b = 5.959 Å, c = 11.298 Å
α = 74.71°, β = 74.71°, γ = 90.00°
Atoms (fractional coordinates):
1 Tl 0.638 0.638 0.723
2 Tl 0.362 0.362 0.277
3 Cs 0.500 0.000 0.000
4 Cs 0.832 0.832 0.335
5 Cs 0.000 0.500 0.000
6 Cs 0.168 0.168 0.665
7 F 0.000 0.000 0.000

Summary:
Uncorrected formation energy = -0.64 eV/atom
Symmetry = I4/mmm, No. 139
Total magnetization = 0.0 Bohr magnetons per cell


No. 7
Entry from Alexandria: a relaxed structure of CsTlF2 (PBE).

a = 4.003 Å, b = 7.470 Å, c = 14.036 Å
α = 90.00°, β = 90.00°, γ = 90.00°
Atoms (fractional coordinates):
1 Tl 0.250 0.622 0.896
2 Tl 0.750 0.878 0.396
3 Tl 0.750 0.378 0.104
4 Tl 0.250 0.122 0.604
5 F 0.750 0.280 0.522
6 F 0.750 0.153 0.232
7 F 0.750 0.653 0.268
8 F 0.250 0.220 0.022
9 F 0.250 0.347 0.732
10 F 0.750 0.780 0.978
11 F 0.250 0.720 0.478
12 F 0.250 0.847 0.768
13 Cs 0.750 0.112 0.858
14 Cs 0.250 0.388 0.358
15 Cs 0.250 0.888 0.142
16 Cs 0.750 0.612 0.642

Summary:
Uncorrected formation energy = -2.20 eV/atom
Symmetry = Pnma, No. 62
Total magnetization = 0.0 Bohr magnetons per cell


No. 8
Entry from Alexandria: a relaxed structure of Cs3TlF4 (PBE).

a = 6.134 Å, b = 8.334 Å, c = 10.118 Å
α = 90.00°, β = 90.00°, γ = 90.00°
Atoms (fractional coordinates):
1 Cs 0.053 0.156 0.500
2 Cs 0.551 0.324 0.748
3 Cs 0.553 0.844 0.000
4 Cs 0.051 0.676 0.752
5 Cs 0.551 0.324 0.252
6 Cs 0.051 0.676 0.248
7 F 0.048 0.324 0.245
8 F 0.548 0.676 0.745
9 F 0.551 0.136 0.500
10 F 0.158 0.819 0.500
11 F 0.658 0.181 0.000
12 F 0.051 0.864 0.000
13 F 0.548 0.676 0.255
14 F 0.048 0.324 0.755
15 Tl 0.056 0.181 0.000
16 Tl 0.556 0.819 0.500

Summary:
Uncorrected formation energy = -2.41 eV/atom
Symmetry = Pmn2_1, No. 31
Total magnetization = 0.0 Bohr magnetons per cell


Copy entry 1 word for word.
Entry from Alexandria: a relaxed structure of Cs2Tl2F (PBE).

a = 7.780 Å, b = 7.780 Å, c = 7.441 Å
α = 90.00°, β = 90.00°, γ = 90.00°
Atoms (fractional coordinates):
1 F 0.500 0.500 0.000
2 F 0.000 0.000 0.000
3 Cs 0.305 0.195 0.000
4 Cs 0.695 0.805 0.000
5 Cs 0.195 0.695 0.000
6 Cs 0.805 0.305 0.000
7 Tl 0.639 0.139 0.500
8 Tl 0.139 0.361 0.500
9 Tl 0.361 0.861 0.500
10 Tl 0.861 0.639 0.500

Summary:
Uncorrected formation energy = -0.84 eV/atom
Symmetry = P4/mbm, No. 127
Total magnetization = 0.9 Bohr magnetons per cell


Question: What is the total magnetization in the seventh record?
Answer: 0.0 Bohr magnetons per cell